No. 1
VASP calculation (PBE) on crystalline DyAlIn at its relaxed geometry.

The structure in POSCAR format:
```
DyAlIn
1.0
1.6644 -8.0200 0.0000
1.6644 8.0200 0.0000
0.0000 0.0000 5.5444
Dy Al In
2 2 2
Cartesian
1.6644 5.6841 4.1583 Dy
1.6644 -5.6841 1.3861 Dy
1.6644 0.0000 0.0000 Al
1.6644 0.0000 2.7722 Al
1.6644 2.5546 4.1583 In
1.6644 -2.5546 1.3861 In
```

Calculated values
formation energy = -0.230 eV per atom
DFT total energy = -3.92 eV per atom
space group = Cmcm



No. 2
VASP calculation (PBE) on crystalline Pr2DyPdO5 at its relaxed geometry.

The structure in POSCAR format:
```
Pr2DyPdO5
1.0
6.6437 0.0000 0.0000
0.0000 6.6437 0.0000
0.0000 0.0000 5.9365
Pr Dy Pd O
4 2 2 10
Cartesian
1.0795 2.2423 0.0000 Pr
2.2423 5.5642 0.0000 Pr
4.4014 1.0795 0.0000 Pr
5.5642 4.4014 0.0000 Pr
0.0000 0.0000 2.9683 Dy
3.3219 3.3219 2.9683 Dy
0.0000 3.3219 2.9683 Pd
3.3219 0.0000 2.9683 Pd
0.0000 0.0000 0.0000 O
1.1264 4.4482 1.5828 O
1.1264 4.4482 4.3537 O
2.1955 1.1264 1.5828 O
2.1955 1.1264 4.3537 O
3.3219 3.3219 0.0000 O
4.4482 5.5173 1.5828 O
4.4482 5.5173 4.3537 O
5.5173 2.1955 1.5828 O
5.5173 2.1955 4.3537 O
```

Calculated values
ΔE_f (raw) = -2.36 eV per atom
DFT total energy = -7.26 eV per atom
space group = P4/mbm